Computed, not measured: La2ReAs after structural relaxation at the PBE-GGA level of DFT.

a b c (Å): 3.345 3.345 8.953
angles (deg): 90.00 90.00 90.00
Fractional coordinates of all 4 atoms:
La: 0.000 0.000 0.000
La: 0.500 0.500 0.394
Re: 0.000 0.000 0.631
As: 0.500 0.500 0.756

Properties
ΔE_f: -83.9 meV per atom
density of states at the Fermi level: 3.36 states/eV per cell
DFT total energy: -6.822 eV per atom
space-group type: P4mm, No. 99